No. 1
Fe2ReRh, relaxed, DFT PBE; V = 52.3 Å³ per cell; spin magnetization = 4.9 μB/cell; formation energy from the elements = 15.7 meV/atom
1.0
2.796 0.000 0.000
0.000 2.796 0.000
0.000 0.000 6.694
Re Rh Fe
1 1 2
direct
0.000 0.000 0.478
0.500 0.500 0.766
0.000 0.000 0.021
0.500 0.500 0.235

No. 2
Fe2ReRh, relaxed, DFT PBE; V = 53.9 Å³ per cell; spin magnetization = 5.4 μB/cell; formation energy from the elements = 144.4 meV/atom
1.0
4.262 0.000 0.000
0.000 2.619 -0.008
0.000 0.582 4.827
Fe Re Rh
2 1 1
direct
0.000 0.997 0.008
0.000 0.503 0.492
0.500 0.250 0.250
0.500 0.750 0.750

No. 3
Fe2ReRh, relaxed, DFT PBE; V = 53.8 Å³ per cell; spin magnetization = 4.9 μB/cell; formation energy from the elements = 195.9 meV/atom
1.0
5.035 0.005 0.004
2.295 4.482 -0.004
-3.098 -3.169 2.389
Fe Re Rh
2 1 1
direct
0.993 0.993 0.000
0.507 0.507 0.000
0.750 0.250 0.500
0.250 0.750 0.500

No. 4
FeReRh3, relaxed, DFT PBE; V = 81.9 Å³ per cell; spin magnetization = 0.1 μB/cell; formation energy from the elements = 1543.2 meV/atom; energy above the most stable polymorph in this dataset = 0.000 eV per atom
1.0
-1.893 3.718 1.209
-3.414 -2.226 1.502
1.905 -0.295 3.892
Re Rh Fe
1 3 1
direct
0.500 0.500 0.500
0.000 0.500 0.000
0.000 0.000 0.500
0.500 0.000 0.000
0.000 0.000 0.000

No. 5
Fe2ReRh, relaxed, DFT PBE; V = 53.5 Å³ per cell; spin magnetization = 5.0 μB/cell; formation energy from the elements = 128.8 meV/atom
1.0
-4.496 -4.740 -5.638
-2.008 -5.265 -6.536
-3.040 -6.705 -4.502
Fe Re Rh
2 1 1
direct
0.000 0.000 0.000
0.500 0.500 0.500
0.250 0.250 0.250
0.750 0.750 0.750

No. 6
Fe2ReRh, relaxed, DFT PBE; V = 49.8 Å³ per cell; spin magnetization = 0.0 μB/cell; formation energy from the elements = 70.3 meV/atom
1.0
3.579 0.000 0.000
0.000 3.730 0.000
0.000 0.000 3.730
Fe Re Rh
2 1 1
direct
0.000 0.000 0.000
0.000 0.500 0.500
0.500 0.500 0.000
0.500 0.000 0.500

No. 7
Fe2ReRh, relaxed, DFT PBE; V = 52.1 Å³ per cell; spin magnetization = 4.0 μB/cell; formation energy from the elements = 67.6 meV/atom
1.0
-0.834 -2.528 0.129
1.079 -0.175 3.526
-4.788 1.660 1.547
Fe Re Rh
2 1 1
direct
0.000 0.000 0.005
0.000 0.000 0.495
0.500 0.500 0.250
0.500 0.500 0.750

No. 8
Fe2ReRh, relaxed, DFT PBE; V = 51.6 Å³ per cell; spin magnetization = 3.0 μB/cell; formation energy from the elements = 32.6 meV/atom
1.0
-2.860 -0.250 2.301
-0.214 -2.593 -0.548
3.077 -3.697 3.423
Fe Re Rh
2 1 1
direct
0.000 0.984 0.016
0.500 0.254 0.246
0.000 0.519 0.480
0.500 0.743 0.757

Number 1: calculated total energy -0.6737 Ry per atom. Number 2: calculated total energy -0.6642 Ry per atom. Number 3: calculated total energy -0.6604 Ry per atom. Number 4: calculated total energy -0.5182 Ry per atom. Number 5: calculated total energy -0.6653 Ry per atom. Number 6: calculated total energy -0.6696 Ry per atom. Number 7: calculated total energy -0.6698 Ry per atom. Number 8: calculated total energy -0.6724 Ry per atom.